Entry 1:
Density functional theory data (GGA-PBE) for a relaxed Fe3Co crystal.

Properties
calculated density = 8.9 g/cm3
ΔE_f = 0.10 eV/atom

```
data_Fe3Co
_cell_length_a 2.4739
_cell_length_b 2.4739
_cell_length_c 7.9403
_cell_angle_alpha 90.00
_cell_angle_beta 90.00
_cell_angle_gamma 120.00
_space_group_name_H-M_alt 'P -6 m 2'
_space_group_IT_number 187
_space_group_name_Hall 'P -6 2'
loop_
_atom_site_label
_atom_site_fract_x
_atom_site_fract_y
_atom_site_fract_z
_atom_site_occupancy
Fe1 0.0000 0.0000 0.0000 1
Fe2 0.3333 0.6667 0.2460 1
Co1 0.0000 0.0000 0.5000 1
```

Entry 2:
Density functional theory data (GGA-PBE) for a relaxed MgCd2Ni2 crystal.

Properties
energy above the lowest structure with this stoichiometry = 192 meV per atom
calculated density = 6.6 g/cm3
ΔE_f = 0.17 eV/atom

```
data_MgCd2Ni2
_cell_length_a 4.014
_cell_length_b 4.014
_cell_length_c 11.449
_cell_angle_alpha 90.00
_cell_angle_beta 90.00
_cell_angle_gamma 90.00
_space_group_name_H-M_alt 'I 4/m m m'
_space_group_IT_number 139
_space_group_name_Hall '-I 4 2'
loop_
_atom_site_label
_atom_site_fract_x
_atom_site_fract_y
_atom_site_fract_z
_atom_site_occupancy
Mg1 0.000 0.000 0.000 1
Cd1 0.000 0.500 0.250 1
Ni1 0.000 0.000 0.402 1
```

Entry 3:
Density functional theory data (GGA-PBE) for a relaxed ZrGeRuAu2 crystal.

Properties
calculated density = 10.5 g/cm3
ΔE_f = 0.53 eV/atom

```
data_ZrGeRuAu2
_cell_length_a 4.736
_cell_length_b 4.736
_cell_length_c 4.631
_cell_angle_alpha 90.00
_cell_angle_beta 90.00
_cell_angle_gamma 90.00
_space_group_name_H-M_alt 'P 4/m m m'
_space_group_IT_number 123
_space_group_name_Hall '-P 4 2'
loop_
_atom_site_label
_atom_site_fract_x
_atom_site_fract_y
_atom_site_fract_z
_atom_site_occupancy
Zr1 0.000 0.000 0.000 1
Ge1 0.500 0.500 0.500 1
Ru1 0.500 0.500 0.000 1
Au1 0.000 0.500 0.500 1
```

Entry 4:
Density functional theory data (GGA-PBE) for a relaxed VCd3Tc crystal.

Properties
energy above the lowest structure with this stoichiometry = 291 meV per atom
calculated density = 6.0 g/cm3
ΔE_f = 1.54 eV/atom

```
data_VCd3Tc
_cell_length_a 5.115
_cell_length_b 5.115
_cell_length_c 5.115
_cell_angle_alpha 90.00
_cell_angle_beta 90.00
_cell_angle_gamma 90.00
_space_group_name_H-M_alt 'P m -3 m'
_space_group_IT_number 221
_space_group_name_Hall '-P 4 2 3'
loop_
_atom_site_label
_atom_site_fract_x
_atom_site_fract_y
_atom_site_fract_z
_atom_site_occupancy
V1 0.000 0.000 0.000 1
Cd1 0.000 0.000 0.500 1
Tc1 0.500 0.500 0.500 1
```

Entry 5:
Density functional theory data (GGA-PBE) for a relaxed LiZn6Rh crystal.

Properties
energy above the lowest structure with this stoichiometry = 206 meV per atom
calculated density = 6.1 g/cm3
ΔE_f = -0.03 eV/atom

```
data_LiZn6Rh
_cell_length_a 6.7800
_cell_length_b 6.7800
_cell_length_c 10.3188
_cell_angle_alpha 90.00
_cell_angle_beta 90.00
_cell_angle_gamma 120.00
_space_group_name_H-M_alt 'R -3 m'
_space_group_IT_number 166
_space_group_name_Hall '-R 3 2"'
loop_
_atom_site_label
_atom_site_fract_x
_atom_site_fract_y
_atom_site_fract_z
_atom_site_occupancy
Li1 0.0000 0.0000 0.0000 1
Zn1 0.0859 0.5429 0.8893 1
Rh1 0.0000 0.0000 0.5000 1
```

Entry 6:
Density functional theory data (GGA-PBE) for a relaxed Bi3HW crystal.

Properties
calculated density = 12.0 g/cm3
E = -22.50 eV for the cell shown

```
data_Bi3HW
_cell_length_a 4.826
_cell_length_b 4.826
_cell_length_c 4.826
_cell_angle_alpha 90.00
_cell_angle_beta 90.00
_cell_angle_gamma 90.00
_space_group_name_H-M_alt 'P m -3 m'
_space_group_IT_number 221
_space_group_name_Hall '-P 4 2 3'
loop_
_atom_site_label
_atom_site_fract_x
_atom_site_fract_y
_atom_site_fract_z
_atom_site_occupancy
Bi1 0.000 0.000 0.500 1
H1 0.000 0.000 0.000 1
W1 0.500 0.500 0.500 1
```

Entry 7:
Density functional theory data (GGA-PBE) for a relaxed Ac6Si2SeS3 crystal.

Properties
energy relative to the elements, uncorrected = -1.54 eV per atom
calculated density = 7.1 g/cm3

```
data_Ac6Si2SeS3
_cell_length_a 19.321
_cell_length_b 4.473
_cell_length_c 8.857
_cell_angle_alpha 90.00
_cell_angle_beta 102.36
_cell_angle_gamma 90.00
_space_group_name_H-M_alt 'C 1 2/m 1'
_space_group_IT_number 12
_space_group_name_Hall '-C 2y'
loop_
_atom_site_label
_atom_site_fract_x
_atom_site_fract_y
_atom_site_fract_z
_atom_site_occupancy
Ac1 0.002 0.000 0.259 1
Ac2 0.168 0.500 0.581 1
Ac3 0.170 0.500 0.089 1
Si1 0.165 0.000 0.330 1
Se1 0.000 0.500 0.000 1
S1 0.000 0.500 0.500 1
S2 0.165 0.000 0.835 1
```

Entry 8:
Density functional theory data (GGA-PBE) for a relaxed YBi2PdO6 crystal.

Properties
energy relative to the elements, uncorrected = -1.48 eV per atom
calculated density = 7.7 g/cm3

```
data_YBi2PdO6
_cell_length_a 5.710
_cell_length_b 5.988
_cell_length_c 6.008
_cell_angle_alpha 118.99
_cell_angle_beta 117.73
_cell_angle_gamma 90.12
_space_group_name_H-M_alt 'P 1'
_space_group_IT_number 1
_space_group_name_Hall 'P 1'
loop_
_atom_site_label
_atom_site_fract_x
_atom_site_fract_y
_atom_site_fract_z
_atom_site_occupancy
Y1 0.000 0.000 0.000 1
Bi1 0.271 0.836 0.556 1
Bi2 0.794 0.353 0.571 1
Pd1 0.488 0.463 0.962 1
O1 0.132 0.166 0.473 1
O2 0.192 0.655 0.011 1
O3 0.352 0.180 0.014 1
O4 0.624 0.681 0.836 1
O5 0.716 0.215 0.852 1
O6 0.865 0.689 0.498 1
```

Entry 9:
Density functional theory data (GGA-PBE) for a relaxed ScAgHg3 crystal.

Properties
energy above the lowest structure with this stoichiometry = 0 meV per atom
calculated density = 11.8 g/cm3
ΔE_f = -0.17 eV/atom

```
data_ScAgHg3
_cell_length_a 4.927
_cell_length_b 17.500
_cell_length_c 4.941
_cell_angle_alpha 90.00
_cell_angle_beta 90.00
_cell_angle_gamma 90.00
_space_group_name_H-M_alt 'C m c m'
_space_group_IT_number 63
_space_group_name_Hall '-C 2c 2'
loop_
_atom_site_label
_atom_site_fract_x
_atom_site_fract_y
_atom_site_fract_z
_atom_site_occupancy
Sc1 0.000 0.153 0.250 1
Ag1 0.000 0.343 0.250 1
Hg1 0.000 0.054 0.750 1
Hg2 0.000 0.249 0.750 1
Hg3 0.000 0.443 0.750 1
```

Entry 10:
Density functional theory data (GGA-PBE) for a relaxed Re2CCl crystal.

Properties
energy above the lowest structure with this stoichiometry = 483 meV per atom
energy relative to the elements, uncorrected = 1.65 eV per atom
calculated density = 14.6 g/cm3

```
data_Re2CCl
_cell_length_a 5.756
_cell_length_b 5.756
_cell_length_c 5.756
_cell_angle_alpha 90.00
_cell_angle_beta 90.00
_cell_angle_gamma 90.00
_space_group_name_H-M_alt 'F m -3 m'
_space_group_IT_number 225
_space_group_name_Hall '-F 4 2 3'
loop_
_atom_site_label
_atom_site_fract_x
_atom_site_fract_y
_atom_site_fract_z
_atom_site_occupancy
Re1 0.250 0.250 0.250 1
C1 0.000 0.000 0.000 1
Cl1 0.000 0.000 0.500 1
```

Entry 11:
Density functional theory data (GGA-PBE) for a relaxed LaErRh crystal.

Properties
energy above the lowest structure with this stoichiometry = 45 meV per atom
calculated density = 7.5 g/cm3
ΔE_f = -0.58 eV/atom

```
data_LaErRh
_cell_length_a 6.569
_cell_length_b 7.021
_cell_length_c 10.081
_cell_angle_alpha 90.00
_cell_angle_beta 129.13
_cell_angle_gamma 90.00
_space_group_name_H-M_alt 'P 1 21/c 1'
_space_group_IT_number 14
_space_group_name_Hall '-P 2ybc'
loop_
_atom_site_label
_atom_site_fract_x
_atom_site_fract_y
_atom_site_fract_z
_atom_site_occupancy
La1 0.146 0.082 0.386 1
Er1 0.374 0.578 0.615 1
Rh1 0.359 0.744 0.357 1
```

Entry 12:
Density functional theory data (GGA-PBE) for a relaxed Na2HI crystal.

Properties
energy above the lowest structure with this stoichiometry = 109 meV per atom
calculated density = 2.9 g/cm3

```
data_Na2HI
_cell_length_a 7.146
_cell_length_b 4.151
_cell_length_c 7.125
_cell_angle_alpha 90.00
_cell_angle_beta 109.36
_cell_angle_gamma 90.00
_space_group_name_H-M_alt 'C 1 2/m 1'
_space_group_IT_number 12
_space_group_name_Hall '-C 2y'
loop_
_atom_site_label
_atom_site_fract_x
_atom_site_fract_y
_atom_site_fract_z
_atom_site_occupancy
Na1 0.234 0.000 0.197 1
H1 0.000 0.500 0.000 1
I1 0.000 0.000 0.500 1
```

Entry 13:
Density functional theory data (GGA-PBE) for a relaxed NdSmI3 crystal.

Properties
energy above the lowest structure with this stoichiometry = 72 meV per atom
energy relative to the elements, uncorrected = -1.05 eV per atom
calculated density = 5.9 g/cm3

```
data_NdSmI3
_cell_length_a 7.956
_cell_length_b 3.990
_cell_length_c 12.585
_cell_angle_alpha 90.00
_cell_angle_beta 107.41
_cell_angle_gamma 90.00
_space_group_name_H-M_alt 'P 1 21/m 1'
_space_group_IT_number 11
_space_group_name_Hall '-P 2yb'
loop_
_atom_site_label
_atom_site_fract_x
_atom_site_fract_y
_atom_site_fract_z
_atom_site_occupancy
Nd1 0.124 0.250 0.174 1
Sm1 0.121 0.250 0.673 1
I1 0.199 0.250 0.440 1
I2 0.201 0.250 0.936 1
I3 0.459 0.750 0.242 1
```

Entry 14:
Density functional theory data (GGA-PBE) for a relaxed PdPt3O crystal.

Properties
energy above the lowest structure with this stoichiometry = 1550 meV per atom
energy relative to the elements, uncorrected = 2.07 eV per atom
calculated density = 10.4 g/cm3

```
data_PdPt3O
_cell_length_a 4.840
_cell_length_b 4.840
_cell_length_c 4.840
_cell_angle_alpha 90.00
_cell_angle_beta 90.00
_cell_angle_gamma 90.00
_space_group_name_H-M_alt 'P m -3 m'
_space_group_IT_number 221
_space_group_name_Hall '-P 4 2 3'
loop_
_atom_site_label
_atom_site_fract_x
_atom_site_fract_y
_atom_site_fract_z
_atom_site_occupancy
Pd1 0.000 0.000 0.000 1
Pt1 0.000 0.000 0.500 1
O1 0.500 0.500 0.500 1
```

Entry 15:
Density functional theory data (GGA-PBE) for a relaxed TeSI3 crystal.

Properties
energy above the lowest structure with this stoichiometry = 35 meV per atom
energy relative to the elements, uncorrected = 0.56 eV per atom
calculated density = 4.1 g/cm3

```
data_TeSI3
_cell_length_a 6.017
_cell_length_b 6.017
_cell_length_c 6.017
_cell_angle_alpha 90.00
_cell_angle_beta 90.00
_cell_angle_gamma 90.00
_space_group_name_H-M_alt 'P m -3 m'
_space_group_IT_number 221
_space_group_name_Hall '-P 4 2 3'
loop_
_atom_site_label
_atom_site_fract_x
_atom_site_fract_y
_atom_site_fract_z
_atom_site_occupancy
Te1 0.000 0.000 0.000 1
S1 0.500 0.500 0.500 1
I1 0.000 0.000 0.500 1
```

Entry 16:
Density functional theory data (GGA-PBE) for a relaxed SbRh3O crystal.

Properties
energy above the lowest structure with this stoichiometry = 0 meV per atom
energy relative to the elements, uncorrected = 0.11 eV per atom
calculated density = 9.8 g/cm3

```
data_SbRh3O
_cell_length_a 4.226
_cell_length_b 4.226
_cell_length_c 4.226
_cell_angle_alpha 90.00
_cell_angle_beta 90.00
_cell_angle_gamma 90.00
_space_group_name_H-M_alt 'P m -3 m'
_space_group_IT_number 221
_space_group_name_Hall '-P 4 2 3'
loop_
_atom_site_label
_atom_site_fract_x
_atom_site_fract_y
_atom_site_fract_z
_atom_site_occupancy
Sb1 0.000 0.000 0.000 1
Rh1 0.000 0.500 0.500 1
O1 0.500 0.500 0.500 1
```

Entry 17:
Density functional theory data (GGA-PBE) for a relaxed SrIn2Pt crystal.

Properties
calculated density = 7.8 g/cm3
ΔE_f = -0.21 eV/atom

```
data_SrIn2Pt
_cell_length_a 6.121
_cell_length_b 11.667
_cell_length_c 4.068
_cell_angle_alpha 90.00
_cell_angle_beta 131.53
_cell_angle_gamma 90.00
_space_group_name_H-M_alt 'C 1 2/m 1'
_space_group_IT_number 12
_space_group_name_Hall '-C 2y'
loop_
_atom_site_label
_atom_site_fract_x
_atom_site_fract_y
_atom_site_fract_z
_atom_site_occupancy
Sr1 0.000 0.000 0.000 1
In1 0.250 0.250 0.500 1
Pt1 0.000 0.500 0.000 1
```

Entry 18:
Density functional theory data (GGA-PBE) for a relaxed PuIn6Ga crystal.

Properties
calculated density = 8.2 g/cm3
ΔE_f = -0.05 eV/atom

```
data_PuIn6Ga
_cell_length_a 6.870
_cell_length_b 6.870
_cell_length_c 4.312
_cell_angle_alpha 90.00
_cell_angle_beta 90.00
_cell_angle_gamma 90.00
_space_group_name_H-M_alt 'P 4/m m m'
_space_group_IT_number 123
_space_group_name_Hall '-P 4 2'
loop_
_atom_site_label
_atom_site_fract_x
_atom_site_fract_y
_atom_site_fract_z
_atom_site_occupancy
Pu1 0.000 0.000 0.000 1
In1 0.000 0.500 0.000 1
In2 0.262 0.262 0.500 1
Ga1 0.500 0.500 0.000 1
```

Entry 19:
Density functional theory data (GGA-PBE) for a relaxed NaInSnAs2 crystal.

Properties
calculated density = 4.8 g/cm3
ΔE_f = 0.65 eV/atom

```
data_NaInSnAs2
_cell_length_a 5.139
_cell_length_b 5.139
_cell_length_c 5.292
_cell_angle_alpha 90.00
_cell_angle_beta 90.00
_cell_angle_gamma 90.00
_space_group_name_H-M_alt 'P 4/m m m'
_space_group_IT_number 123
_space_group_name_Hall '-P 4 2'
loop_
_atom_site_label
_atom_site_fract_x
_atom_site_fract_y
_atom_site_fract_z
_atom_site_occupancy
Na1 0.000 0.000 0.000 1
In1 0.000 0.000 0.500 1
Sn1 0.500 0.500 0.500 1
As1 0.000 0.500 0.000 1
```

Entry 20:
Density functional theory data (GGA-PBE) for a relaxed Tm6TeAs5 crystal.

Properties
energy relative to the elements, uncorrected = -1.49 eV per atom
calculated density = 8.6 g/cm3

```
data_Tm6TeAs5
_cell_length_a 7.113
_cell_length_b 12.304
_cell_length_c 7.110
_cell_angle_alpha 90.00
_cell_angle_beta 109.53
_cell_angle_gamma 90.00
_space_group_name_H-M_alt 'C 1 2/m 1'
_space_group_IT_number 12
_space_group_name_Hall '-C 2y'
loop_
_atom_site_label
_atom_site_fract_x
_atom_site_fract_y
_atom_site_fract_z
_atom_site_occupancy
Tm1 0.236 0.000 0.257 1
Tm2 0.239 0.175 0.741 1
Te1 0.000 0.500 0.000 1
As1 0.000 0.000 0.500 1
As2 0.000 0.167 0.000 1
As3 0.000 0.339 0.500 1
```